Density functional theory data (GGA-PBE) for a relaxed structure of Hf2NpSb.

V = 23.16 A^3/atom
ΔE_f (raw) = 133 meV per atom
VASP energy = -36.44 eV/f.u.
D(E_F) = 5.9 states/eV/f.u.

Unit cell a=3.305 b=3.305 c=9.978 alpha=80.47 beta=80.47 gamma=60.00
Site moments in Bohr magnetons follow the coordinates.
Positions (direct):
Np 0.000 0.000 0.000  3.54
Hf 0.248 0.248 0.257  -0.01
Sb 0.500 0.500 0.500  0.02
Hf 0.752 0.752 0.743  -0.01